Cr2InSiO6 | Alexandria via LeMat-Bulk | PBE+U | relaxed; space-group type = P1, No. 1; total energy = -72.129 eV per cell; total magnetic moment = 7.0 μB per cell
1.0
-3.5819 -3.2529 -1.7094
-1.2037 -4.0357 2.8067
-5.1545 0.0439 2.3187
O In Cr Si
6 1 2 1
Cartesian
-4.9611 -1.9978 2.6425
-6.7554 -2.7097 0.9652
-5.3238 -5.5050 0.5205
-6.2414 -4.0713 3.0395
-3.0473 -4.6398 2.9571
-3.4365 -2.8139 0.2105
-6.9282 -5.8600 2.1842
-4.6979 -3.7755 1.5251
-5.0431 -0.0238 2.2768
-1.7245 -2.3597 0.4228